Entry from Alexandria: CoSnAs3 at its PBEsol-relaxed geometry (SCAN).

Output
- formation enthalpy at 0 K (eV/atom) = 0.4632
- crystal system = cubic

Lattice parameters (Å, degrees): 4.5919 4.5919 4.5919 90.00 90.00 90.00
Space group Pm-3m (No. 221)
One atom of each set of equivalent atoms:
Co 0.0000 0.0000 0.0000 x1
Sn 0.5000 0.5000 0.5000 x1
As 0.0000 0.0000 0.5000 x3

=====

Entry from Alexandria: RbPIrS2 at its PBEsol-relaxed geometry (SCAN).

Output
- crystal system = tetragonal
- energy relative to the elements, uncorrected (kJ/mol of formula units) = -1

Lattice parameters (Å, degrees): 5.0071 5.0071 4.3873 90.00 90.00 90.00
Space group P4/mmm (No. 123)
One atom of each set of equivalent atoms:
Rb 0.0000 0.0000 0.0000 x1
P 0.5000 0.5000 0.0000 x1
Ir 0.5000 0.5000 0.5000 x1
S 0.0000 0.5000 0.5000 x2

=====

Entry from Alexandria: SnPtC3 at its PBEsol-relaxed geometry (SCAN).

Output
- formation enthalpy at 0 K (eV/atom) = 2.3883
- crystal system = cubic

Lattice parameters (Å, degrees): 4.0464 4.0464 4.0464 90.00 90.00 90.00
Space group Pm-3m (No. 221)
One atom of each set of equivalent atoms:
Sn 0.0000 0.0000 0.0000 x1
Pt 0.5000 0.5000 0.5000 x1
C 0.0000 0.5000 0.5000 x3

=====

Entry from Alexandria: MgSb2Pb at its PBEsol-relaxed geometry (SCAN).

Output
- crystal system = orthorhombic
- energy relative to the elements, uncorrected (kJ/mol of formula units) = -29

Lattice parameters (Å, degrees): 3.3476 5.3200 6.1378 90.00 90.00 90.00
Space group Pmm2 (No. 25)
One atom of each set of equivalent atoms:
Mg 0.0000 0.0000 0.0000 x1
Sb 0.0000 0.0000 0.5002 x1
Sb 0.5000 0.5000 0.9966 x1
Pb 0.5000 0.5000 0.4959 x1

=====

Entry from Alexandria: ReMoO3 at its PBEsol-relaxed geometry (SCAN).

Output
- crystal system = cubic
- energy relative to the elements, uncorrected (kJ/mol of formula units) = -237

Lattice parameters (Å, degrees): 3.8963 3.8963 3.8963 90.00 90.00 90.00
Space group Pm-3m (No. 221)
One atom of each set of equivalent atoms:
Re 0.0000 0.0000 0.0000 x1
Mo 0.5000 0.5000 0.5000 x1
O 0.0000 0.0000 0.5000 x3

=====

Entry from Alexandria: Sc2CrIr at its PBEsol-relaxed geometry (SCAN).

Output
- formation enthalpy at 0 K (eV/atom) = -0.4313
- crystal system = orthorhombic

Lattice parameters (Å, degrees): 3.0683 4.4840 9.4915 90.00 90.00 90.00
Space group Imm2 (No. 44)
One atom of each set of equivalent atoms:
Sc 0.0000 0.0000 0.0000 x2
Sc 0.0000 0.5000 0.2234 x2
Cr 0.0000 0.0000 0.4642 x2
Ir 0.0000 0.5000 0.7490 x2

=====

What is the formula in the fourth record?
MgSb2Pb